# Na4Mn2PC4O16 (PBE+U, relaxed)
# - DOS(E_F): 75.60 states/eV/cell
# - DFT total energy: -1479.56 eV for the cell shown
data_Na4Mn2PC4O16
_space_group_name_H-M_alt 'F d d d'
_space_group_IT_number 70
_cell_length_a 13.695
_cell_length_b 14.185
_cell_length_c 14.350
_cell_angle_alpha 90.00
_cell_angle_beta 90.00
_cell_angle_gamma 90.00
loop_
_space_group_symop_operation_xyz
'x,y,z'
'-x,-y,-z'
'-x+1/4,-y+1/4,z'
'x+1/4,y+1/4,-z'
'x,-y+1/4,-z+1/4'
'-x,y+1/4,z+1/4'
'-x+1/4,y,-z+1/4'
'x+1/4,-y,z+1/4'
'x,y+1/2,z+1/2'
'-x,-y+1/2,-z+1/2'
'-x+1/4,-y+3/4,z+1/2'
'x+1/4,y+3/4,-z+1/2'
'x,-y+3/4,-z+3/4'
'-x,y+3/4,z+3/4'
'-x+1/4,y+1/2,-z+3/4'
'x+1/4,-y+1/2,z+3/4'
'x+1/2,y,z+1/2'
'-x+1/2,-y,-z+1/2'
'-x+3/4,-y+1/4,z+1/2'
'x+3/4,y+1/4,-z+1/2'
'x+1/2,-y+1/4,-z+3/4'
'-x+1/2,y+1/4,z+3/4'
'-x+3/4,y,-z+3/4'
'x+3/4,-y,z+3/4'
'x+1/2,y+1/2,z'
'-x+1/2,-y+1/2,-z'
'-x+3/4,-y+3/4,z'
'x+3/4,y+3/4,-z'
'x+1/2,-y+3/4,-z+1/4'
'-x+1/2,y+3/4,z+1/4'
'-x+3/4,y+1/2,-z+1/4'
'x+3/4,-y+1/2,z+1/4'
loop_
_atom_site_label
_atom_site_fract_x
_atom_site_fract_y
_atom_site_fract_z
_atom_site_occupancy
Na1 0.086 0.375 0.375 1
Na2 0.125 0.125 0.330 1
Mn1 0.000 0.000 0.500 1
P1 0.125 0.125 0.125 1
C1 0.035 0.041 0.719 1
O1 0.025 0.275 0.902 1
O2 0.027 0.114 0.773 1
O3 0.059 0.063 0.062 1
O4 0.106 0.270 0.515 1